ErMnIn2O6 after structural relaxation, computed with PBE+U.

Output
The total magnetization comes out at 0.400 μB/atom. The calculation puts the total energy at -6.746 eV per atom.

a b c (Å): 5.510 5.427 5.847
angles (deg): 64.05 60.77 62.05
Fractional positions:
O: 0.444 0.718 0.748
O: 0.906 0.631 0.271
O: 0.190 0.908 0.283
O: 0.717 0.086 0.749
In: 0.512 0.525 0.435
O: 0.627 0.219 0.238
Mn: 0.816 0.820 0.546
Er: 0.306 0.308 0.076
O: 0.118 0.421 0.754
In: 0.024 0.026 0.915